No. 1
This record from the Alexandria database describes PtRh2S2 after structural relaxation. The functional is PBE.

Unit cell a=6.794 b=6.794 c=3.155 alpha=90.00 beta=90.00 gamma=90.00
Fractional coordinates of all 10 atoms:
Pt 0.000 0.000 0.000
Pt 0.500 0.500 0.000
Rh 0.152 0.348 0.500
Rh 0.348 0.848 0.500
Rh 0.652 0.152 0.500
Rh 0.848 0.652 0.500
S 0.159 0.659 0.000
S 0.341 0.159 0.000
S 0.659 0.841 0.000
S 0.841 0.341 0.000

Output
formation energy (no corrections)	0.13	eV/atom
space group	No. 127
density	10.605	g/cm³
E above lowest polymorph	132.3	meV per atom

No. 2
This record from the Alexandria database describes PtRhS3 after structural relaxation. The functional is PBE.

Unit cell a=4.580 b=4.580 c=4.580 alpha=90.00 beta=90.00 gamma=90.00
Fractional coordinates of all 5 atoms:
Pt 0.000 0.000 0.000
Rh 0.500 0.500 0.500
S 0.000 0.500 0.500
S 0.500 0.000 0.500
S 0.500 0.500 0.000

Output
formation energy (no corrections)	0.89	eV/atom
space group	No. 221
density	6.812	g/cm³
E above lowest polymorph	1161.6	meV per atom